[1]
Density functional theory data (meta-GGA SCAN) for AlSiB2Cl at its PBEsol-relaxed geometry.

abc: 4.104 4.104 5.281
angles: 90.00 90.00 90.00
Positions (direct):
1 Al 0.000 0.000 0.000
2 Si 0.000 0.000 0.500
3 B 0.000 0.500 0.000
4 B 0.500 0.000 0.000
5 Cl 0.500 0.500 0.500

* total magnetization: 0.002 μB/cell
* E_form (uncorrected): 1.41 eV per atom
* Fermi-level density of states: 0.3960 states/eV/atom
* raw total energy: -6.71 eV/atom


[2]
Density functional theory data (meta-GGA SCAN) for Al2CoB2 at its PBEsol-relaxed geometry.

abc: 5.405 5.405 3.230
angles: 90.00 90.00 90.00
Positions (direct):
1 Al 0.184 0.316 0.000
2 Al 0.316 0.816 0.000
3 Al 0.684 0.184 0.000
4 Al 0.816 0.684 0.000
5 Co 0.000 0.000 0.500
6 Co 0.500 0.500 0.500
7 B 0.113 0.613 0.500
8 B 0.387 0.113 0.500
9 B 0.613 0.887 0.500
10 B 0.887 0.387 0.500

* total magnetization: 0.002 μB/cell
* Fermi-level density of states: 0.1688 states/eV/atom
* formation enthalpy at 0 K: -0.250 eV/atom
* raw total energy: -9.78 eV/atom


[3]
Density functional theory data (meta-GGA SCAN) for AlCo2B2 at its PBEsol-relaxed geometry.

abc: 5.754 5.754 2.569
angles: 90.00 90.00 90.00
Positions (direct):
1 Al 0.000 0.000 0.000
2 Al 0.500 0.500 0.000
3 Co 0.176 0.324 0.500
4 Co 0.324 0.824 0.500
5 Co 0.676 0.176 0.500
6 Co 0.824 0.676 0.500
7 B 0.111 0.611 0.000
8 B 0.389 0.111 0.000
9 B 0.611 0.889 0.000
10 B 0.889 0.389 0.000

* total magnetization: 1.748 μB/cell
* Fermi-level density of states: 0.4124 states/eV/atom
* formation enthalpy at 0 K: -0.275 eV/atom
* raw total energy: -11.72 eV/atom


[4]
Density functional theory data (meta-GGA SCAN) for Al3Co20B6 at its PBEsol-relaxed geometry.

abc: 7.294 7.294 7.294
angles: 60.00 60.00 60.00
Positions (direct):
1 Al 0.000 0.000 0.000
2 Al 0.250 0.250 0.250
3 Al 0.750 0.750 0.750
4 Co 0.000 0.000 0.341
5 Co 0.000 0.000 0.659
6 Co 0.000 0.341 0.000
7 Co 0.000 0.341 0.659
8 Co 0.000 0.659 0.000
9 Co 0.000 0.659 0.341
10 Co 0.148 0.617 0.617
11 Co 0.341 0.000 0.000
12 Co 0.341 0.000 0.659
13 Co 0.341 0.659 0.000
14 Co 0.383 0.383 0.383
15 Co 0.383 0.383 0.852
16 Co 0.383 0.852 0.383
17 Co 0.617 0.148 0.617
18 Co 0.617 0.617 0.148
19 Co 0.617 0.617 0.617
20 Co 0.659 0.000 0.000
21 Co 0.659 0.000 0.341
22 Co 0.659 0.341 0.000
23 Co 0.852 0.383 0.383
24 B 0.276 0.276 0.724
25 B 0.276 0.724 0.276
26 B 0.276 0.724 0.724
27 B 0.724 0.276 0.276
28 B 0.724 0.276 0.724
29 B 0.724 0.724 0.276

* total magnetization: 20.864 μB/cell
* Fermi-level density of states: 0.8041 states/eV/atom
* formation enthalpy at 0 K: -0.223 eV/atom
* raw total energy: -14.50 eV/atom


[5]
Density functional theory data (meta-GGA SCAN) for Al4CoB2O10 at its PBEsol-relaxed geometry.

abc: 7.170 4.323 9.570
angles: 90.00 109.49 90.00
Positions (direct):
1 Al 0.080 0.002 0.394
2 Al 0.080 0.498 0.894
3 Al 0.300 0.015 0.171
4 Al 0.300 0.485 0.671
5 Al 0.700 0.515 0.329
6 Al 0.700 0.985 0.829
7 Al 0.920 0.502 0.106
8 Al 0.920 0.998 0.606
9 Co 0.500 0.000 0.500
10 Co 0.500 0.500 0.000
11 B 0.295 0.568 0.351
12 B 0.295 0.932 0.851
13 B 0.705 0.068 0.149
14 B 0.705 0.432 0.649
15 O 0.111 0.223 0.562
16 O 0.111 0.277 0.062
17 O 0.119 0.735 0.244
18 O 0.119 0.765 0.744
19 O 0.288 0.233 0.350
20 O 0.288 0.267 0.850
21 O 0.298 0.709 0.497
22 O 0.298 0.791 0.997
23 O 0.458 0.704 0.312
24 O 0.458 0.796 0.812
25 O 0.542 0.204 0.188
26 O 0.542 0.296 0.688
27 O 0.702 0.209 0.003
28 O 0.702 0.291 0.503
29 O 0.712 0.733 0.150
30 O 0.712 0.767 0.650
31 O 0.881 0.235 0.256
32 O 0.881 0.265 0.756
33 O 0.889 0.723 0.938
34 O 0.889 0.777 0.438

* total magnetization: 2.000 μB/cell
* E_form (uncorrected): -2.90 eV per atom
* Fermi-level density of states: 0.0000 states/eV/atom
* raw total energy: -10.29 eV/atom


[6]
Density functional theory data (meta-GGA SCAN) for Al2CrInB at its PBEsol-relaxed geometry.

abc: 4.975 4.975 5.035
angles: 90.00 90.00 90.00
Positions (direct):
1 Al 0.000 0.500 0.000
2 Al 0.500 0.000 0.000
3 Cr 0.000 0.000 0.500
4 In 0.000 0.000 0.000
5 B 0.500 0.500 0.500

* total magnetization: 4.026 μB/cell
* Fermi-level density of states: 0.6503 states/eV/atom
* formation enthalpy at 0 K: 1.802 eV/atom
* raw total energy: -13.14 eV/atom


[7]
Density functional theory data (meta-GGA SCAN) for La2AlCrB at its PBEsol-relaxed geometry.

abc: 5.163 5.163 4.062
angles: 90.00 90.00 90.00
Positions (direct):
1 La 0.000 0.500 0.000
2 La 0.500 0.000 0.000
3 Al 0.000 0.000 0.500
4 Cr 0.500 0.500 0.000
5 B 0.500 0.500 0.500

* total magnetization: 1.727 μB/cell
* Fermi-level density of states: 0.8618 states/eV/atom
* formation enthalpy at 0 K: 0.461 eV/atom
* raw total energy: -23.49 eV/atom


[8]
Density functional theory data (meta-GGA SCAN) for MnAlCr2B at its PBEsol-relaxed geometry.

abc: 4.379 4.379 4.298
angles: 90.00 90.00 90.00
Positions (direct):
1 Mn 0.000 0.000 0.000
2 Al 0.000 0.000 0.500
3 Cr 0.000 0.500 0.500
4 Cr 0.500 0.000 0.500
5 B 0.500 0.500 0.000

* total magnetization: 9.123 μB/cell
* Fermi-level density of states: 0.4526 states/eV/atom
* formation enthalpy at 0 K: 1.769 eV/atom
* raw total energy: -12.27 eV/atom


[9]
Density functional theory data (meta-GGA SCAN) for Al9CrB2O18 at its PBEsol-relaxed geometry.

abc: 5.745 7.726 8.057
angles: 90.04 110.80 90.12
Positions (direct):
1 Al 0.000 0.000 0.000
2 Al 0.040 0.349 0.086
3 Al 0.108 0.181 0.720
4 Al 0.182 0.992 0.372
5 Al 0.293 0.495 0.602
6 Al 0.374 0.681 0.258
7 Al 0.444 0.848 0.894
8 Al 0.484 0.501 0.978
9 Al 0.876 0.681 0.256
10 Cr 0.605 0.183 0.719
11 B 0.727 0.956 0.457
12 B 0.754 0.460 0.517
13 O 0.076 0.816 0.154
14 O 0.094 0.145 0.195
15 O 0.192 0.983 0.871
16 O 0.193 0.607 0.397
17 O 0.275 0.106 0.576
18 O 0.293 0.483 0.109
19 O 0.385 0.646 0.783
20 O 0.400 0.319 0.824
21 O 0.484 0.894 0.394
22 O 0.549 0.743 0.105
23 O 0.574 0.399 0.581
24 O 0.680 0.976 0.873
25 O 0.694 0.588 0.393
26 O 0.795 0.084 0.582
27 O 0.806 0.482 0.105
28 O 0.901 0.892 0.390
29 O 0.943 0.245 0.875
30 O 0.994 0.394 0.583

* total magnetization: 3.000 μB/cell
* E_form (uncorrected): -3.18 eV per atom
* Fermi-level density of states: 0.0000 states/eV/atom
* raw total energy: -10.35 eV/atom


[10]
Density functional theory data (meta-GGA SCAN) for CsAlBP2HO9 at its PBEsol-relaxed geometry.

abc: 9.320 8.703 9.502
angles: 90.00 104.83 90.00
Positions (direct):
1 Cs 0.192 0.117 0.059
2 Cs 0.192 0.383 0.559
3 Cs 0.808 0.617 0.441
4 Cs 0.808 0.883 0.941
5 Al 0.196 0.655 0.931
6 Al 0.196 0.845 0.431
7 Al 0.804 0.155 0.569
8 Al 0.804 0.345 0.069
9 B 0.342 0.036 0.702
10 B 0.342 0.464 0.202
11 B 0.658 0.536 0.798
12 B 0.658 0.964 0.298
13 P 0.071 0.571 0.203
14 P 0.071 0.929 0.703
15 P 0.411 0.728 0.722
16 P 0.411 0.772 0.222
17 P 0.589 0.228 0.778
18 P 0.589 0.272 0.278
19 P 0.929 0.071 0.297
20 P 0.929 0.429 0.797
21 H 0.392 0.048 0.500
22 H 0.392 0.452 0.000
23 H 0.608 0.548 0.000
24 H 0.608 0.952 0.500
25 O 0.075 0.514 0.806
26 O 0.075 0.654 0.062
27 O 0.075 0.846 0.562
28 O 0.075 0.986 0.306
29 O 0.096 0.678 0.334
30 O 0.096 0.822 0.834
31 O 0.200 0.054 0.738
32 O 0.200 0.446 0.238
33 O 0.308 0.024 0.540
34 O 0.308 0.476 0.040
35 O 0.333 0.715 0.561
36 O 0.333 0.785 0.061
37 O 0.339 0.633 0.820
38 O 0.339 0.867 0.320
39 O 0.424 0.176 0.753
40 O 0.424 0.324 0.253
41 O 0.427 0.599 0.271
42 O 0.427 0.901 0.771
43 O 0.573 0.099 0.229
44 O 0.573 0.401 0.729
45 O 0.576 0.676 0.747
46 O 0.576 0.824 0.247
47 O 0.661 0.133 0.680
48 O 0.661 0.367 0.180
49 O 0.667 0.215 0.939
50 O 0.667 0.285 0.439
51 O 0.692 0.524 0.960
52 O 0.692 0.976 0.460
53 O 0.800 0.554 0.762
54 O 0.800 0.946 0.262
55 O 0.904 0.178 0.166
56 O 0.904 0.322 0.666
57 O 0.925 0.014 0.694
58 O 0.925 0.154 0.438
59 O 0.925 0.346 0.938
60 O 0.925 0.486 0.194

* total magnetization: 0.000 μB/cell
* Fermi-level density of states: 0.0000 states/eV/atom
* raw total energy: -11.50 eV/atom


[11]
Density functional theory data (meta-GGA SCAN) for Cs2Al2B2O7 at its PBEsol-relaxed geometry.

abc: 6.716 7.063 9.685
angles: 90.00 114.78 90.00
Positions (direct):
1 Cs 0.223 0.137 0.378
2 Cs 0.223 0.363 0.878
3 Cs 0.777 0.637 0.122
4 Cs 0.777 0.863 0.622
5 Al 0.238 0.623 0.537
6 Al 0.238 0.877 0.037
7 Al 0.762 0.123 0.963
8 Al 0.762 0.377 0.463
9 B 0.352 0.611 0.275
10 B 0.352 0.889 0.775
11 B 0.648 0.111 0.225
12 B 0.648 0.389 0.725
13 O 0.000 0.000 0.000
14 O 0.000 0.500 0.500
15 O 0.253 0.677 0.364
16 O 0.253 0.823 0.864
17 O 0.257 0.651 0.121
18 O 0.257 0.849 0.621
19 O 0.462 0.003 0.167
20 O 0.462 0.497 0.667
21 O 0.538 0.503 0.333
22 O 0.538 0.997 0.833
23 O 0.743 0.151 0.379
24 O 0.743 0.349 0.879
25 O 0.747 0.177 0.136
26 O 0.747 0.323 0.636

* total magnetization: 0.000 μB/cell
* E_form (uncorrected): -2.86 eV per atom
* Fermi-level density of states: 0.0000 states/eV/atom
* raw total energy: -14.36 eV/atom


[12]
Density functional theory data (meta-GGA SCAN) for CsZrAl2B at its PBEsol-relaxed geometry.

abc: 5.255 5.255 5.812
angles: 90.00 90.00 90.00
Positions (direct):
1 Cs 0.000 0.000 0.000
2 Zr 0.000 0.000 0.500
3 Al 0.000 0.500 0.500
4 Al 0.500 0.000 0.500
5 B 0.500 0.500 0.000

* total magnetization: 0.000 μB/cell
* Fermi-level density of states: 1.0792 states/eV/atom
* formation enthalpy at 0 K: 1.920 eV/atom
* raw total energy: -16.37 eV/atom


[13]
Density functional theory data (meta-GGA SCAN) for AlCuB3 at its PBEsol-relaxed geometry.

abc: 4.065 4.065 4.065
angles: 90.00 90.00 90.00
Positions (direct):
1 Al 0.000 0.000 0.000
2 Cu 0.500 0.500 0.500
3 B 0.000 0.000 0.500
4 B 0.000 0.500 0.000
5 B 0.500 0.000 0.000

* total magnetization: 0.000 μB/cell
* offset from the most stable computed form: 484.1 meV per atom
* Fermi-level density of states: 0.5188 states/eV/atom
* formation enthalpy at 0 K: 1.998 eV/atom
* raw total energy: -7.05 eV/atom


[14]
Density functional theory data (meta-GGA SCAN) for AlCuB3 at its PBEsol-relaxed geometry.

abc: 3.851 3.851 3.851
angles: 90.00 90.00 90.00
Positions (direct):
1 Al 0.000 0.000 0.000
2 Cu 0.500 0.500 0.500
3 B 0.000 0.500 0.500
4 B 0.500 0.000 0.500
5 B 0.500 0.500 0.000

* total magnetization: 0.000 μB/cell
* offset from the most stable computed form: 0.0 meV per atom
* Fermi-level density of states: 0.2727 states/eV/atom
* formation enthalpy at 0 K: 1.514 eV/atom
* raw total energy: -7.53 eV/atom


[15]
Density functional theory data (meta-GGA SCAN) for KAlCu2B at its PBEsol-relaxed geometry.

abc: 4.309 4.309 4.145
angles: 90.00 90.00 90.00
Positions (direct):
1 K 0.000 0.000 0.000
2 Al 0.500 0.500 0.000
3 Cu 0.000 0.500 0.500
4 Cu 0.500 0.000 0.500
5 B 0.500 0.500 0.500

* total magnetization: 0.000 μB/cell
* Fermi-level density of states: 0.2161 states/eV/atom
* formation enthalpy at 0 K: 0.428 eV/atom
* raw total energy: -10.35 eV/atom


[16]
Density functional theory data (meta-GGA SCAN) for Al6Cu2B4O17 at its PBEsol-relaxed geometry.

abc: 7.924 7.924 10.587
angles: 130.68 130.68 42.07
Positions (direct):
1 Al 0.000 0.000 0.000
2 Al 0.157 0.157 0.945
3 Al 0.178 0.682 0.654
4 Al 0.189 0.686 0.164
5 Al 0.682 0.178 0.654
6 Al 0.686 0.189 0.164
7 Cu 0.214 0.214 0.372
8 Cu 0.369 0.369 0.316
9 B 0.425 0.425 0.901
10 B 0.682 0.682 0.898
11 B 0.688 0.688 0.426
12 B 0.950 0.950 0.418
13 O 0.036 0.036 0.211
14 O 0.156 0.747 0.352
15 O 0.165 0.165 0.121
16 O 0.215 0.638 0.967
17 O 0.326 0.326 0.086
18 O 0.397 0.397 0.517
19 O 0.404 0.829 0.832
20 O 0.429 0.429 0.775
21 O 0.551 0.960 0.498
22 O 0.558 0.558 0.284
23 O 0.638 0.215 0.967
24 O 0.747 0.156 0.352
25 O 0.811 0.811 0.029
26 O 0.829 0.404 0.832
27 O 0.945 0.945 0.544
28 O 0.960 0.551 0.498
29 O 0.973 0.973 0.802

* total magnetization: 2.011 μB/cell
* E_form (uncorrected): -2.77 eV per atom
* raw total energy: -10.10 eV/atom


[17]
Density functional theory data (meta-GGA SCAN) for ScAl2CuB at its PBEsol-relaxed geometry.

abc: 4.568 4.568 3.829
angles: 90.00 90.00 90.00
Positions (direct):
1 Sc 0.000 0.000 0.000
2 Al 0.000 0.500 0.500
3 Al 0.500 0.000 0.500
4 Cu 0.500 0.500 0.500
5 B 0.500 0.500 0.000

* total magnetization: 0.000 μB/cell
* Fermi-level density of states: 0.3366 states/eV/atom
* formation enthalpy at 0 K: 0.339 eV/atom
* raw total energy: -10.13 eV/atom


[18]
Density functional theory data (meta-GGA SCAN) for AlCuBSe2 at its PBEsol-relaxed geometry.

abc: 4.724 4.724 4.532
angles: 90.00 90.00 90.00
Positions (direct):
1 Al 0.000 0.000 0.000
2 Cu 0.000 0.000 0.500
3 B 0.500 0.500 0.000
4 Se 0.000 0.500 0.500
5 Se 0.500 0.000 0.500

* total magnetization: 0.000 μB/cell
* E_form (uncorrected): 1.19 eV per atom
* Fermi-level density of states: 0.5016 states/eV/atom
* raw total energy: -12.92 eV/atom